VASP calculation (PBE) on an optimized crystal structure of CrCuRe2.

It has space group P4/mmm (No. 123), with a = 3.1327 Å, b = 3.1327 Å, c = 5.4807 Å, α = 90.00°, β = 90.00° and γ = 90.00°. The inequivalent atoms are Cr at (0.0000, 0.0000, 0.0000), Cu at (0.0000, 0.0000, 0.5000) and Re at (0.5000, 0.5000, 0.2465).

As for the formation energy: 0.302 eV/atom. The energy above the most stable polymorph in this dataset comes out at 78 meV per atom. For the total energy, the calculation gives -9.35 eV per atom.

VASP calculation (PBE) on an optimized crystal structure of HPtRh2.

It has space group R-3m (No. 166, hexagonal axes), with a = 2.7848 Å, b = 2.7848 Å, c = 20.7207 Å, α = 90.00°, β = 90.00° and γ = 120.00°. The inequivalent atoms are H at (0.0000, 0.0000, 0.0000), Pt at (0.0000, 0.0000, 0.5000) and Rh at (0.0000, 0.0000, 0.2759).

The energy above the most stable polymorph in this dataset comes out at 0 meV per atom. For the total energy, the calculation gives -6.00 eV per atom.

VASP calculation (PBE) on an optimized crystal structure of Pr12Sm2In.

It has space group P4/nbm (No. 125, origin choice 2), with a = 6.8107 Å, b = 6.8107 Å, c = 24.0880 Å, α = 90.00°, β = 90.00° and γ = 90.00°. The inequivalent atoms are Pr at (0.0041, 0.5041, 0.0914), Pr at (0.0839, 0.5839, 0.5655), Pr at (0.2500, 0.2500, 0.1997), Pr at (0.2500, 0.2500, 0.3283), Sm at (0.2500, 0.7500, 0.2482) and In at (0.2500, 0.7500, 0.0000).

As for the formation energy: 0.211 eV/atom. For the total energy, the calculation gives -4.42 eV per atom.

VASP calculation (PBE) on an optimized crystal structure of MnCdFe2.

It has space group P2/m (No. 10), with a = 2.6952 Å, b = 3.9595 Å, c = 5.4778 Å, α = 90.00°, β = 94.88° and γ = 90.00°. The inequivalent atoms are Mn at (0.0000, 0.0000, 0.0000), Cd at (0.0000, 0.0000, 0.5000) and Fe at (0.4769, 0.5000, 0.2156).

As for the formation energy: 0.344 eV/atom. For the total energy, the calculation gives -6.41 eV per atom.

VASP calculation (PBE) on an optimized crystal structure of Na2Li2Mg.

It has space group I4/mmm (No. 139), with a = 3.9217 Å, b = 3.9217 Å, c = 18.6072 Å, α = 90.00°, β = 90.00° and γ = 90.00°. The inequivalent atoms are Na at (0.0000, 0.0000, 0.1056), Li at (0.0000, 0.5000, 0.2500) and Mg at (0.0000, 0.0000, 0.5000).

As for the formation energy: 0.174 eV/atom. The energy above the most stable polymorph in this dataset comes out at 118 meV per atom. For the total energy, the calculation gives -1.44 eV per atom.

VASP calculation (PBE) on an optimized crystal structure of Hf3Pd.

It has space group Pm-3m (No. 221), with a = 4.3153 Å, b = 4.3153 Å, c = 4.3153 Å, α = 90.00°, β = 90.00° and γ = 90.00°. The inequivalent atoms are Hf at (0.0000, 0.0000, 0.5000) and Pd at (0.5000, 0.5000, 0.5000).

As for the formation energy: -0.169 eV/atom. The energy above the most stable polymorph in this dataset comes out at 193 meV per atom. For the total energy, the calculation gives -8.93 eV per atom.

VASP calculation (PBE) on an optimized crystal structure of V5Ga3Si12.

It has space group Ia-3d (No. 230), with a = 14.4560 Å, b = 14.4560 Å, c = 14.4560 Å, α = 90.00°, β = 90.00° and γ = 90.00°. The inequivalent atoms are V at (0.0000, 0.0000, 0.0000), V at (0.0000, 0.2500, 0.3750), Ga at (0.0000, 0.2500, 0.1250) and Si at (0.0109, 0.0802, 0.6516).

Its uncorrected formation energy is 0.61 eV per atom. For the total energy, the calculation gives -5.38 eV per atom.

VASP calculation (PBE) on an optimized crystal structure of PrGePd2.

It has space group R-3m (No. 166, hexagonal axes), with a = 4.4062 Å, b = 4.4062 Å, c = 14.7394 Å, α = 90.00°, β = 90.00° and γ = 120.00°. The inequivalent atoms are Pr at (0.0000, 0.0000, 0.0000), Ge at (0.0000, 0.0000, 0.5000) and Pd at (0.0000, 0.0000, 0.2095).

As for the formation energy: -0.733 eV/atom. For the total energy, the calculation gives -5.68 eV per atom.

VASP calculation (PBE) on an optimized crystal structure of CrReAs.

It has space group F-43m (No. 216), with a = 5.6899 Å, b = 5.6899 Å, c = 5.6899 Å, α = 90.00°, β = 90.00° and γ = 90.00°. The inequivalent atoms are Cr at (0.0000, 0.0000, 0.0000), Re at (0.2500, 0.2500, 0.7500) and As at (0.2500, 0.2500, 0.2500).

As for the formation energy: 0.152 eV/atom. The energy above the most stable polymorph in this dataset comes out at 88 meV per atom. For the total energy, the calculation gives -8.76 eV per atom.

VASP calculation (PBE) on an optimized crystal structure of RbCdTcAs2.

It has space group P4/mmm (No. 123), with a = 5.6663 Å, b = 5.6663 Å, c = 5.2880 Å, α = 90.00°, β = 90.00° and γ = 90.00°. The inequivalent atoms are Rb at (0.0000, 0.0000, 0.0000), Cd at (0.5000, 0.5000, 0.5000), Tc at (0.0000, 0.0000, 0.5000) and As at (0.0000, 0.5000, 0.0000).

As for the formation energy: 2.166 eV/atom. For the total energy, the calculation gives -2.14 eV per atom.

VASP calculation (PBE) on an optimized crystal structure of Nd4PdRhCl2.

It has space group P2/m (No. 10), with a = 7.1886 Å, b = 4.1325 Å, c = 7.9081 Å, α = 90.00°, β = 107.91° and γ = 90.00°. The inequivalent atoms are Nd at (0.2311, 0.0000, 0.2067), Nd at (0.2541, 0.5000, 0.7920), Pd at (0.5000, 0.0000, 0.0000), Rh at (0.0000, 0.5000, 0.0000), Cl at (0.0000, 0.0000, 0.5000) and Cl at (0.5000, 0.5000, 0.5000).

Its uncorrected formation energy is -1.13 eV per atom. For the total energy, the calculation gives -5.55 eV per atom.

VASP calculation (PBE) on an optimized crystal structure of BaCaSc2.

It has space group P4mm (No. 99), with a = 3.9106 Å, b = 3.9106 Å, c = 9.4250 Å, α = 90.00°, β = 90.00° and γ = 90.00°. The inequivalent atoms are Ba at (0.0000, 0.0000, 0.0000), Ca at (0.5000, 0.5000, 0.3395), Sc at (0.0000, 0.0000, 0.5704) and Sc at (0.5000, 0.5000, 0.7293).

As for the formation energy: 0.196 eV/atom. The energy above the most stable polymorph in this dataset comes out at 0 meV per atom. For the total energy, the calculation gives -3.95 eV per atom.

no.,total magnetic moment (μB per formula unit)
1,0.00
2,0.00
3,0.00
4,8.37
5,0.00
6,0.00
7,2.34
8,0.00
9,0.11
10,3.90
11,0.00
12,0.00